DFT (PBE-GGA) results for crystalline CaIn2SnHg4 at its relaxed geometry.

The density of states at the Fermi level comes out at 3.256 states/eV per cell. Its calculated formation energy is -0.14 eV/atom.

It has space group P4/mmm (No. 123), with a = 5.871 Å, b = 5.871 Å, c = 6.428 Å, α = 90.00°, β = 90.00° and γ = 90.00°. The asymmetric unit holds Ca at (0.000, 0.000, 0.000), In at (0.500, 0.500, 0.254), Sn at (0.000, 0.000, 0.500) and Hg at (0.000, 0.500, 0.254).


DFT (PBE-GGA) results for crystalline Li2CdPb at its relaxed geometry.

The value obtained for the polymorph energy (0 for the lowest one) is 6.9 kJ/mol of atoms. The density of states at the Fermi level comes out at 1.146 states/eV per cell. Its calculated formation energy is -0.20 eV/atom.

It has space group P4mm (No. 99), with a = 3.669 Å, b = 3.669 Å, c = 6.352 Å, α = 90.00°, β = 90.00° and γ = 90.00°. The asymmetric unit holds Li at (0.000, 0.000, 0.000), Li at (0.500, 0.500, 0.253), Cd at (0.500, 0.500, 0.798) and Pb at (0.000, 0.000, 0.489).


DFT (PBE-GGA) results for crystalline CsBa2SrCu at its relaxed geometry.

The density of states at the Fermi level comes out at 4.570 states/eV per cell. Its calculated formation energy is 0.08 eV/atom.

It has space group P4/mmm (No. 123), with a = 6.617 Å, b = 6.617 Å, c = 6.384 Å, α = 90.00°, β = 90.00° and γ = 90.00°. The asymmetric unit holds Cs at (0.000, 0.000, 0.000), Ba at (0.000, 0.500, 0.500), Sr at (0.500, 0.500, 0.000) and Cu at (0.500, 0.500, 0.500).